[1]
Density functional theory data (PBE-GGA) for a relaxed structure of ZrPdN2O.

Computed properties:
energy relative to the elements, uncorrected: 0.302 eV per atom
DOS(E_F): 3.4 states/eV per cell
theoretical density: 6768 kg/m³
calculated total energy: -33.842 eV per cell

a = 3.914 Å, b = 3.914 Å, c = 3.870 Å
α = 90.00°, β = 90.00°, γ = 90.00°
Sites, in units of the cell vectors:
1 Zr 0.000 0.000 0.000
2 Pd 0.500 0.500 0.500
3 N 0.000 0.500 0.500
4 N 0.500 0.000 0.500
5 O 0.500 0.500 0.000

---

[2]
Density functional theory data (PBE-GGA) for a relaxed structure of ZrPdN2O.

Computed properties:
energy relative to the elements, uncorrected: 0.274 eV per atom
DOS(E_F): 4.8 states/eV per cell
theoretical density: 5329 kg/m³
calculated total energy: -33.982 eV per cell

a = 4.302 Å, b = 4.302 Å, c = 4.069 Å
α = 90.00°, β = 90.00°, γ = 90.00°
Sites, in units of the cell vectors:
1 Zr 0.000 0.000 0.000
2 Pd 0.500 0.500 0.500
3 N 0.000 0.500 0.000
4 N 0.500 0.000 0.000
5 O 0.000 0.000 0.500

---

[3]
Density functional theory data (PBE-GGA) for a relaxed structure of Pm4NO3.

Computed properties:
energy relative to the elements, uncorrected: -2.484 eV per atom
DOS(E_F): 2.2 states/eV per cell
theoretical density: 8405 kg/m³
calculated total energy: -62.072 eV per cell
E above lowest polymorph: 0.0 meV per atom

a = 6.159 Å, b = 6.159 Å, c = 6.159 Å
α = 131.90°, β = 131.90°, γ = 70.39°
Sites, in units of the cell vectors:
1 Pm 0.000 0.500 0.500
2 Pm 0.245 0.245 0.000
3 Pm 0.500 0.000 0.500
4 Pm 0.755 0.755 0.000
5 N 0.000 0.000 0.000
6 O 0.250 0.750 0.500
7 O 0.500 0.500 0.000
8 O 0.750 0.250 0.500

---

[4]
Density functional theory data (PBE-GGA) for a relaxed structure of Pm2NO.

Computed properties:
energy relative to the elements, uncorrected: -2.178 eV per atom
DOS(E_F): 0.6 states/eV per cell
theoretical density: 8252 kg/m³
calculated total energy: -31.497 eV per cell
E above lowest polymorph: 26.0 meV per atom

a = 3.574 Å, b = 3.574 Å, c = 5.040 Å
α = 90.00°, β = 90.00°, γ = 90.00°
Sites, in units of the cell vectors:
1 Pm 0.000 0.000 0.000
2 Pm 0.500 0.500 0.500
3 N 0.000 0.000 0.500
4 O 0.500 0.500 0.000

---

[5]
Density functional theory data (PBE-GGA) for a relaxed structure of Pm3NO2.

Computed properties:
energy relative to the elements, uncorrected: -2.281 eV per atom
DOS(E_F): 6.8 states/eV per cell
theoretical density: 7104 kg/m³
calculated total energy: -92.363 eV per cell
E above lowest polymorph: 108.5 meV per atom

a = 7.180 Å, b = 7.180 Å, c = 5.095 Å
α = 90.00°, β = 90.00°, γ = 58.88°
Sites, in units of the cell vectors:
1 Pm 0.157 0.506 0.250
2 Pm 0.161 0.839 0.750
3 Pm 0.494 0.843 0.250
4 Pm 0.506 0.157 0.750
5 Pm 0.839 0.161 0.250
6 Pm 0.843 0.494 0.750
7 N 0.182 0.818 0.250
8 N 0.818 0.182 0.750
9 O 0.178 0.499 0.750
10 O 0.499 0.178 0.250
11 O 0.501 0.822 0.750
12 O 0.822 0.501 0.250

---

[6]
Density functional theory data (PBE-GGA) for a relaxed structure of Pm2NO.

Computed properties:
energy relative to the elements, uncorrected: -2.204 eV per atom
DOS(E_F): 1.1 states/eV per cell
theoretical density: 8229 kg/m³
calculated total energy: -31.601 eV per cell
E above lowest polymorph: 0.0 meV per atom

a = 6.226 Å, b = 6.226 Å, c = 6.226 Å
α = 33.24°, β = 33.24°, γ = 33.24°
Sites, in units of the cell vectors:
1 Pm 0.247 0.247 0.247
2 Pm 0.753 0.753 0.753
3 N 0.500 0.500 0.500
4 O 0.000 0.000 0.000

---

[7]
Density functional theory data (PBE-GGA) for a relaxed structure of Pm3NO3.

Computed properties:
energy relative to the elements, uncorrected: -2.674 eV per atom
theoretical density: 7494 kg/m³
calculated total energy: -224.686 eV per cell

a = 10.176 Å, b = 3.535 Å, c = 12.246 Å
α = 90.00°, β = 90.00°, γ = 90.00°
Sites, in units of the cell vectors:
1 Pm 0.066 0.250 0.118
2 Pm 0.090 0.250 0.615
3 Pm 0.245 0.250 0.854
4 Pm 0.255 0.750 0.354
5 Pm 0.410 0.750 0.115
6 Pm 0.434 0.750 0.618
7 Pm 0.566 0.250 0.382
8 Pm 0.590 0.250 0.885
9 Pm 0.745 0.250 0.646
10 Pm 0.755 0.750 0.146
11 Pm 0.910 0.750 0.385
12 Pm 0.934 0.750 0.882
13 N 0.026 0.250 0.796
14 N 0.474 0.750 0.296
15 N 0.526 0.250 0.704
16 N 0.974 0.750 0.204
17 O 0.068 0.250 0.413
18 O 0.159 0.750 0.976
19 O 0.230 0.750 0.698
20 O 0.270 0.250 0.198
21 O 0.341 0.250 0.476
22 O 0.432 0.750 0.913
23 O 0.568 0.250 0.087
24 O 0.659 0.750 0.524
25 O 0.730 0.750 0.802
26 O 0.770 0.250 0.302
27 O 0.841 0.250 0.024
28 O 0.932 0.750 0.587

---

[8]
Density functional theory data (PBE-GGA) for a relaxed structure of Pm3NO2.

Computed properties:
energy relative to the elements, uncorrected: -2.390 eV per atom
DOS(E_F): 6.8 states/eV per cell
theoretical density: 8352 kg/m³
calculated total energy: -187.330 eV per cell
E above lowest polymorph: 0.0 meV per atom

a = 7.121 Å, b = 5.021 Å, c = 10.698 Å
α = 90.00°, β = 90.00°, γ = 90.00°
Sites, in units of the cell vectors:
1 Pm 0.122 0.250 0.081
2 Pm 0.125 0.250 0.751
3 Pm 0.129 0.250 0.419
4 Pm 0.371 0.750 0.919
5 Pm 0.375 0.750 0.251
6 Pm 0.378 0.750 0.581
7 Pm 0.622 0.250 0.419
8 Pm 0.625 0.250 0.749
9 Pm 0.629 0.250 0.081
10 Pm 0.871 0.750 0.581
11 Pm 0.875 0.750 0.249
12 Pm 0.878 0.750 0.919
13 N 0.127 0.750 0.082
14 N 0.373 0.250 0.582
15 N 0.627 0.750 0.418
16 N 0.873 0.250 0.918
17 O 0.124 0.750 0.416
18 O 0.125 0.750 0.753
19 O 0.375 0.250 0.253
20 O 0.376 0.250 0.916
21 O 0.624 0.750 0.084
22 O 0.625 0.750 0.747
23 O 0.875 0.250 0.247
24 O 0.876 0.250 0.584